A relaxed AlRuCl crystal. Source: the Alexandria database, functional GGA-PBE.

## Properties
Uncorrected energy = -14.84 eV per formula unit

The structure in POSCAR format:
```
AlRuCl
1.0
0.000 2.563 6.668
1.539 0.000 6.668
1.539 2.563 0.000
Al Ru Cl
1 1 1
Direct
0.000 0.000 0.000
0.364 0.364 0.636
0.636 0.636 0.364
```